1.
GGA-PBE Sr2AlZn12Cu3, optimized geometry; space group = R-3m (166)
1.0
8.007 -0.354 -0.251
3.646 7.137 -0.251
3.646 2.122 6.819
Zn Cu Al Sr
12 3 1 2
direct
0.681 0.681 0.149
0.881 0.360 0.881
0.360 0.881 0.881
0.119 0.119 0.640
0.119 0.640 0.119
0.851 0.319 0.319
0.640 0.119 0.119
0.149 0.681 0.681
0.681 0.149 0.681
0.319 0.851 0.319
0.319 0.319 0.851
0.881 0.881 0.360
0.500 0.000 0.000
0.000 0.000 0.500
0.000 0.500 0.000
0.000 0.000 0.000
0.389 0.389 0.389
0.611 0.611 0.611

2.
GGA-PBE NaCeCdPt, optimized geometry; space group = F-43m (216)
1.0
4.975 0.000 0.000
2.488 4.309 0.000
2.488 1.436 4.062
Pt Na Ce Cd
1 1 1 1
direct
0.750 0.750 0.750
0.250 0.250 0.250
0.500 0.500 0.500
0.000 0.000 0.000

Taking the records one at a time from the top gives total moment values of 0.000; 0.305 μB per atom.
Taking the records one at a time from the top gives Fermi-level density of states values of 0.325; 1.773 states/eV/atom.
Taking the records one at a time from the top gives uncorrected energy values of -30.70; -15.66 eV/f.u..